Arrangement 1

Entry from the Alexandria database: a geometry-optimized K2InC structure (GGA-PBE).

abc: 5.5837 5.5837 5.5837
angles: 60.00 60.00 60.00
Closest atoms and distances in Å follow each position.
Element x y z (fractional)
K  0.2500  0.2500  0.2500  4 In 3.42, 4 C 3.42
K  0.7500  0.7500  0.7500  4 In 3.42, 4 C 3.42
C  0.0000  0.0000  0.0000  8 K 3.42
In  0.5000  0.5000  0.5000  8 K 3.42

## Properties
The symmetry is Fm-3m (225).

Arrangement 2

Entry from the Alexandria database: a geometry-optimized K2InC structure (GGA-PBE).

abc: 12.1823 12.1823 8.8751
angles: 46.66 46.66 90.00
Closest atoms and distances in Å follow each position.
Element x y z (fractional)
K  0.4228  0.1250  0.2500  2 C 3.15, 2 In 3.49
K  0.3272  0.6250  0.2500  2 C 3.15, 2 In 3.49
K  0.3750  0.5772  0.7500  2 C 3.15, 2 In 3.49
K  0.8750  0.6728  0.7500  2 C 3.15, 2 In 3.49
C  0.5000  0.5000  0.0000  2 In 2.14
C  0.2500  0.7500  0.5000  2 In 2.14
In  0.0000  0.0000  0.0000  2 C 2.14
In  0.7500  0.2500  0.5000  2 C 2.14

## Properties
The symmetry is I-42d (122).

Most stable structure: arrangement 2

Arrangement 1

Entry from the Alexandria database: a geometry-optimized La2InC2 structure (GGA-PBE).

abc: 5.6922 5.6922 5.2665
angles: 57.29 57.29 90.00
Closest atoms and distances in Å follow each position.
Element x y z (fractional)
C  0.4046  0.4046  0.1907  1 C 1.30
C  0.5954  0.5954  0.8093  1 C 1.30
In  0.0000  0.0000  0.0000  2 C 2.75
La  0.7500  0.2500  0.5000  4 C 3.03, 4 In 3.31, 2 La 3.40
La  0.2500  0.7500  0.5000  4 C 3.03, 4 In 3.31, 2 La 3.40

## Properties
The symmetry is I4/mmm (139).

Arrangement 2

Entry from the Alexandria database: a geometry-optimized La2InC2 structure (GGA-PBE).

abc: 7.2386 7.2386 3.6278
angles: 90.00 90.00 90.00
Closest atoms and distances in Å follow each position.
Element x y z (fractional)
C  0.3265  0.8265  0.0000  2 La 2.59, 2 In 2.68
C  0.8265  0.6735  0.0000  2 La 2.59, 2 In 2.68
C  0.6735  0.1735  0.0000  2 La 2.59, 2 In 2.68
C  0.1735  0.3265  0.0000  2 La 2.59, 2 In 2.68
In  0.0000  0.0000  0.0000  4 C 2.68
In  0.5000  0.5000  0.0000  4 C 2.68
La  0.1464  0.6464  0.5000  2 C 2.59
La  0.6464  0.8536  0.5000  2 C 2.59
La  0.8536  0.3536  0.5000  2 C 2.59
La  0.3536  0.1464  0.5000  2 C 2.59

## Properties
The symmetry is P4/mbm (127).

Most stable structure: arrangement 1

Arrangement 1

Entry from the Alexandria database: a geometry-optimized LaIn3C structure (GGA-PBE).

abc: 6.2209 6.2209 6.2209
angles: 90.00 90.00 90.00
Closest atoms and distances in Å follow each position.
Element x y z (fractional)
C  0.5000  0.5000  0.5000  12 In 4.40
In  0.0000  0.5000  0.0000  2 La 3.11
In  0.0000  0.0000  0.5000  2 La 3.11
In  0.5000  0.0000  0.0000  2 La 3.11
La  0.0000  0.0000  0.0000  6 In 3.11

## Properties
The symmetry is Pm-3m (221).

Arrangement 2

Entry from the Alexandria database: a geometry-optimized LaIn3C structure (GGA-PBE).

abc: 4.9360 4.9360 4.9360
angles: 90.00 90.00 90.00
Closest atoms and distances in Å follow each position.
Element x y z (fractional)
C  0.0000  0.0000  0.0000  6 In 2.47
In  0.0000  0.5000  0.0000  2 C 2.47
In  0.0000  0.0000  0.5000  2 C 2.47
In  0.5000  0.0000  0.0000  2 C 2.47
La  0.5000  0.5000  0.5000  12 In 3.49

## Properties
The symmetry is Pm-3m (221).

Most stable structure: arrangement 2

Arrangement 1

Entry from the Alexandria database: a geometry-optimized LaInC2 structure (GGA-PBE).

abc: 5.1056 5.1056 7.1297
angles: 69.02 69.02 90.00
Closest atoms and distances in Å follow each position.
Element x y z (fractional)
C  0.5825  0.1250  0.2500  2 In 2.26, 2 La 2.49
C  0.1675  0.6250  0.2500  2 In 2.26, 2 La 2.49
C  0.3750  0.4175  0.7500  2 In 2.26, 2 La 2.49
C  0.8750  0.8325  0.7500  2 In 2.26, 2 La 2.49
In  0.5000  0.5000  0.0000  4 C 2.26
In  0.2500  0.7500  0.5000  4 C 2.26
La  0.0000  0.0000  0.0000  4 C 2.49
La  0.7500  0.2500  0.5000  4 C 2.49

## Properties
The symmetry is I-42d (122).

Arrangement 2

Entry from the Alexandria database: a geometry-optimized LaInC2 structure (GGA-PBE).

abc: 4.4715 4.4715 4.4715
angles: 60.00 60.00 60.00
Closest atoms and distances in Å follow each position.
Element x y z (fractional)
C  0.2500  0.2500  0.2500  4 La 2.74, 4 In 2.74
C  0.7500  0.7500  0.7500  4 In 2.74, 4 La 2.74
In  0.0000  0.0000  0.0000  8 C 2.74
La  0.5000  0.5000  0.5000  8 C 2.74

## Properties
The symmetry is Fm-3m (225).

Most stable structure: arrangement 1

Arrangement 1

Entry from the Alexandria database: a geometry-optimized LaInC3 structure (GGA-PBE).

abc: 4.3399 4.3399 4.3399
angles: 90.00 90.00 90.00
Closest atoms and distances in Å follow each position.
Element x y z (fractional)
C  0.0000  0.5000  0.0000  2 In 2.17
C  0.0000  0.0000  0.5000  2 In 2.17
C  0.5000  0.0000  0.0000  2 In 2.17
In  0.0000  0.0000  0.0000  6 C 2.17
La  0.5000  0.5000  0.5000  12 C 3.07

## Properties
The symmetry is Pm-3m (221).

Arrangement 2

Entry from the Alexandria database: a geometry-optimized LaInC3 structure (GGA-PBE).

abc: 4.5680 4.5680 4.5680
angles: 90.00 90.00 90.00
Closest atoms and distances in Å follow each position.
Element x y z (fractional)
C  0.0000  0.5000  0.0000  2 La 2.28
C  0.0000  0.0000  0.5000  2 La 2.28
C  0.5000  0.0000  0.0000  2 La 2.28
In  0.5000  0.5000  0.5000  12 C 3.23
La  0.0000  0.0000  0.0000  6 C 2.28

## Properties
The symmetry is Pm-3m (221).

Most stable structure: arrangement 1

Arrangement 1

Entry from the Alexandria database: a geometry-optimized MgInC2 structure (GGA-PBE).

abc: 4.1511 4.1511 4.1511
angles: 60.00 60.00 60.00
Closest atoms and distances in Å follow each position.
Element x y z (fractional)
Mg  0.0000  0.0000  0.0000  8 C 2.54
C  0.2500  0.2500  0.2500  4 In 2.54, 4 Mg 2.54
C  0.7500  0.7500  0.7500  4 In 2.54, 4 Mg 2.54
In  0.5000  0.5000  0.5000  8 C 2.54

## Properties
The symmetry is Fm-3m (225).

Arrangement 2

Entry from the Alexandria database: a geometry-optimized MgInC2 structure (GGA-PBE).

abc: 5.7360 5.7360 5.5576
angles: 58.93 58.93 90.00
Closest atoms and distances in Å follow each position.
Element x y z (fractional)
Mg  0.5000  0.5000  0.0000  4 C 2.24
Mg  0.2500  0.7500  0.5000  4 C 2.24
C  0.6247  0.1250  0.2500  2 Mg 2.24, 2 In 2.24
C  0.1253  0.6250  0.2500  2 Mg 2.24, 2 In 2.24
C  0.3750  0.3753  0.7500  2 Mg 2.24, 2 In 2.24
C  0.8750  0.8747  0.7500  2 Mg 2.24, 2 In 2.24
In  0.0000  0.0000  0.0000  4 C 2.24
In  0.7500  0.2500  0.5000  4 C 2.24

## Properties
The symmetry is I-42d (122).

Most stable structure: arrangement 2

Arrangement 1

Entry from the Alexandria database: a geometry-optimized MnIn3C structure (GGA-PBE).

abc: 5.0666 5.0666 5.0666
angles: 90.00 90.00 90.00
Closest atoms and distances in Å follow each position.
Element x y z (fractional)
C  0.5000  0.5000  0.5000  12 In 3.58
Mn  0.0000  0.0000  0.0000  6 In 2.53
In  0.0000  0.5000  0.0000  2 Mn 2.53
In  0.0000  0.0000  0.5000  2 Mn 2.53
In  0.5000  0.0000  0.0000  2 Mn 2.53

## Properties
The symmetry is Pm-3m (221).

Arrangement 2

Entry from the Alexandria database: a geometry-optimized MnIn3C structure (GGA-PBE).

abc: 4.6303 4.6303 4.6303
angles: 90.00 90.00 90.00
Closest atoms and distances in Å follow each position.
Element x y z (fractional)
C  0.0000  0.0000  0.0000  6 In 2.32
Mn  0.5000  0.5000  0.5000  12 In 3.27
In  0.0000  0.5000  0.0000  2 C 2.32
In  0.0000  0.0000  0.5000  2 C 2.32
In  0.5000  0.0000  0.0000  2 C 2.32

## Properties
The symmetry is Pm-3m (221).

Most stable structure: arrangement 2

Arrangement 1

Entry from the Alexandria database: a geometry-optimized Mn2InOsC structure (GGA-PBE).

abc: 4.0352 4.0352 4.0634
angles: 90.00 90.00 90.00
Closest atoms and distances in Å follow each position.
Element x y z (fractional)
C  0.0000  0.0000  0.0000  4 Mn 2.02, 2 Os 2.03
Mn  0.0000  0.5000  0.0000  2 C 2.02
Mn  0.5000  0.0000  0.0000  2 C 2.02
Os  0.0000  0.0000  0.5000  2 C 2.03
In  0.5000  0.5000  0.5000  4 Os 2.85, 8 Mn 2.86

## Properties
The symmetry is P4/mmm (123).

Arrangement 2

Entry from the Alexandria database: a geometry-optimized Mn2InOsC structure (GGA-PBE).

abc: 4.7372 5.1516 4.7372
angles: 90.00 90.00 90.00
Closest atoms and distances in Å follow each position.
Element x y z (fractional)
C  0.5000  0.5000  0.5000  4 In 3.35, 8 Mn 3.50
Mn  0.0000  0.0000  0.5000  2 Os 2.37
Mn  0.5000  0.0000  0.0000  2 Os 2.37
Os  0.0000  0.0000  0.0000  4 Mn 2.37, 2 In 2.58
In  0.0000  0.5000  0.0000  2 Os 2.58

## Properties
The symmetry is P4/mmm (123).

Most stable structure: arrangement 1